No. 1
Computed, not measured: crystalline PmCdAsO at its relaxed geometry at the PBE-GGA level of DFT.

The structure in extended XYZ format:
```
8
Lattice="4.1611 0.0000 0.0000 0.0000 4.1611 0.0000 0.0000 0.0000 9.1877" Properties=species:S:1:pos:R:3 pbc="T T T"
Pm 1.0403 1.0403 1.1009
Pm 3.1208 3.1208 8.0867
Cd 1.0403 3.1208 4.5938
Cd 3.1208 1.0403 4.5938
As 1.0403 1.0403 6.4334
As 3.1208 3.1208 2.7543
O 1.0403 3.1208 0.0000
O 3.1208 1.0403 0.0000
```

Energy above the lowest structure with this stoichiometry in meV/atom: 0.0
Raw total energy in eV for the cell shown: -44.3


No. 2
Computed, not measured: crystalline ErSi2AgPd at its relaxed geometry at the PBE-GGA level of DFT.

The structure in extended XYZ format:
```
10
Lattice="4.1106 0.0000 0.0000 0.0000 4.1106 0.0000 0.0000 0.0000 10.3320" Properties=species:S:1:pos:R:3 pbc="T T T"
Er 0.0000 0.0000 0.0000
Er 2.0553 2.0553 5.1660
Si 0.0000 0.0000 4.0277
Si 0.0000 0.0000 6.3043
Si 2.0553 2.0553 1.1383
Si 2.0553 2.0553 9.1937
Ag 0.0000 2.0553 7.7490
Ag 2.0553 0.0000 2.5830
Pd 0.0000 2.0553 2.5830
Pd 2.0553 0.0000 7.7490
```

Raw total energy in eV for the cell shown: -53.2


No. 3
Computed, not measured: crystalline Er4Bi2C at its relaxed geometry at the PBE-GGA level of DFT.

The structure in extended XYZ format:
```
14
Lattice="4.8060 0.0000 0.0000 0.0000 4.8060 0.0000 0.0000 0.0000 15.8421" Properties=species:S:1:pos:R:3 pbc="T T T"
Er 0.0000 0.0000 2.4061
Er 0.0000 0.0000 13.4360
Er 0.0000 2.4030 0.0000
Er 0.0000 2.4030 7.9211
Er 2.4030 0.0000 0.0000
Er 2.4030 0.0000 7.9211
Er 2.4030 2.4030 5.5150
Er 2.4030 2.4030 10.3272
Bi 0.0000 0.0000 5.6213
Bi 0.0000 0.0000 10.2209
Bi 2.4030 2.4030 2.2998
Bi 2.4030 2.4030 13.5423
C 0.0000 0.0000 0.0000
C 2.4030 2.4030 7.9211
```

Raw total energy in eV for the cell shown: -80.2


No. 4
Computed, not measured: crystalline TlCuTcSe3 at its relaxed geometry at the PBE-GGA level of DFT.

The structure in extended XYZ format:
```
12
Lattice="7.8800 0.0000 0.0000 0.0000 3.7339 0.0000 -3.8190 0.0000 9.1349" Properties=species:S:1:pos:R:3 pbc="T T T"
Tl 0.9296 0.9335 1.9362
Tl 3.1313 2.8004 7.1987
Cu -0.0537 0.9335 8.1058
Cu 4.1146 2.8004 1.0291
Tc -0.9849 2.8004 6.1233
Tc 5.0458 0.9335 3.0116
Se -1.1597 2.8004 3.5286
Se -1.6166 2.8004 8.5546
Se 0.7188 0.9335 5.8616
Se 3.3421 2.8004 3.2733
Se 5.6775 0.9335 0.5802
Se 5.2206 0.9335 5.6062
```

Energy above the lowest structure with this stoichiometry in meV/atom: 0.0
Raw total energy in eV for the cell shown: -56.8